1.
Here is a PBEsol-optimized structure of Y2PtRh from Alexandria via LeMat-Bulk. Energies are from meta-GGA SCAN.

Values from the calculation:
**Magnetization**: 0.00 μB per formula unit
**Raw total energy**: -40.563 eV per atom

Cell: 6.680 6.680 6.680 Å, 90.00 90.00 90.00°
Space group F-43m (No. 216)
Asymmetric unit:
Y1 0.000 0.000 0.000 x4
Y2 0.250 0.250 0.250 x4
Pt1 0.000 0.000 0.500 x4
Rh1 0.250 0.250 0.750 x4



2.
Here is a PBEsol-optimized structure of YPt2Rh2 from Alexandria via LeMat-Bulk. Energies are from meta-GGA SCAN.

Values from the calculation:
**Magnetization**: 1.73 μB per formula unit
**Raw total energy**: -47.701 eV per atom

Cell: 3.770 3.770 12.352 Å, 90.00 90.00 90.00°
Space group I4/mmm (No. 139)
Asymmetric unit:
Y1 0.000 0.000 0.000 x2
Pt1 0.000 0.000 0.398 x4
Rh1 0.000 0.500 0.250 x4



3.
Here is a PBEsol-optimized structure of Y2PtRh from Alexandria via LeMat-Bulk. Energies are from meta-GGA SCAN.

Values from the calculation:
**Magnetization**: 0.00 μB per formula unit
**Raw total energy**: -41.107 eV per atom

Cell: 3.402 3.402 6.866 Å, 90.00 90.00 90.00°
Space group P4/mmm (No. 123)
Asymmetric unit:
Y1 0.000 0.000 0.247 x2
Pt1 0.500 0.500 0.500 x1
Rh1 0.500 0.500 0.000 x1



4.
Here is a PBEsol-optimized structure of Y2PtRh from Alexandria via LeMat-Bulk. Energies are from meta-GGA SCAN.

Values from the calculation:
**Magnetization**: 0.00 μB per formula unit
**Raw total energy**: -40.885 eV per atom

Cell: 3.998 3.998 9.933 Å, 90.00 90.00 90.00°
Space group I-4m2 (No. 119)
Asymmetric unit:
Y1 0.000 0.000 0.000 x2
Y2 0.000 0.500 0.250 x2
Pt1 0.000 0.500 0.750 x2
Rh1 0.000 0.000 0.500 x2



Which formula does entry 1 have? Y2PtRh